Material: HfMnWSe2
Method: DFT, PBE-GGA
State: relaxed

```
HfMnWSe2
1.0
-0.8688 2.5305 3.7919
-4.2041 0.8572 -1.5352
-1.5658 -3.7909 2.1711
Mn Hf Se W
1 1 2 1
direct
0.0000 0.0000 0.0000
0.5000 0.5000 0.5000
0.0000 0.0000 0.5000
0.5000 0.0000 0.0000
0.0000 0.5000 0.0000
```

Final energy in eV/atom: -7.080
V in Å³/atom: 19.63
E_form (uncorrected) in meV/atom: 729